{"formula": "LaPrHoTm", "functional": "GGA-PBE", "state": "optimized geometry", "cell": [[5.7655, 0.0000, 0.0000], [2.8828, 4.9931, 0.0000], [2.8828, 1.6644, 4.7075]], "species": ["Pr", "Ho", "Tm", "La"], "fractional_positions": [[0.7500, 0.7500, 0.7500], [0.0000, 0.0000, 0.0000], [0.5000, 0.5000, 0.5000], [0.2500, 0.2500, 0.2500]], "magnetic_moment_mub_per_atom": 0.002, "delta_e_f_mev_per_atom": 87.1}

---

{"formula": "La2Pr3Ho6Tm", "functional": "GGA-PBE", "state": "optimized geometry", "cell": [[6.2590, -0.0007, 0.0070], [-3.1286, 5.4210, 0.0070], [-1.0547, -1.8262, 11.6784]], "species": ["Ho", "Ho", "Pr", "Ho", "Pr", "Ho", "La", "Tm", "Pr", "Ho", "La", "Ho"], "fractional_positions": [[0.2486, 0.2486, 0.7502], [0.0833, 0.4153, 0.2494], [0.1669, 0.8331, 0.5000], [0.7514, 0.7514, 0.2498], [0.5000, 0.5000, 0.5000], [0.4153, 0.0833, 0.2494], [0.3340, 0.6660, 0.0000], [0.0000, 0.0000, 0.0000], [0.8331, 0.1669, 0.5000], [0.9167, 0.5847, 0.7506], [0.6660, 0.3340, 0.0000], [0.5847, 0.9167, 0.7506]], "magnetic_moment_mub_per_atom": 0.000, "delta_e_f_mev_per_atom": 16.7}